(i)
Computed, not measured: an optimized crystal structure of Hf2FeAu at the PBE-GGA level of DFT.

Calculated values
N(E_F) ... 2.9 states/eV/cell
SG ... Fm-3m

Cell lengths 4.664, 4.664, 4.664 Å; angles 60.00, 60.00, 60.00 degrees
Each line ends with the local moment (μB).
Fractional coordinates of all 4 atoms:
Au 0.500 0.500 0.500  -0.03
Hf 0.250 0.250 0.250  -0.28
Hf 0.750 0.750 0.750  -0.28
Fe 0.000 0.000 0.000  1.45

---

(ii)
Computed, not measured: an optimized crystal structure of Hf2FeAu at the PBE-GGA level of DFT.

Calculated values
N(E_F) ... 10.6 states/eV/cell
SG ... I-42d

Cell lengths 4.231, 4.231, 9.354 Å; angles 76.93, 76.93, 90.00 degrees
Fractional coordinates of all 8 atoms:
Fe 0.250 0.750 0.500
Fe 0.500 0.500 0.000
Au 0.750 0.250 0.500
Au 0.000 0.000 0.000
Hf 0.875 0.861 0.750
Hf 0.611 0.125 0.250
Hf 0.375 0.389 0.750
Hf 0.139 0.625 0.250

---

(iii)
Computed, not measured: an optimized crystal structure of Hf2FeAu at the PBE-GGA level of DFT.

Calculated values
N(E_F) ... 3.9 states/eV/cell
SG ... P4/mmm

Cell lengths 3.192, 3.192, 6.955 Å; angles 90.00, 90.00, 90.00 degrees
Each line ends with the local moment (μB).
Fractional coordinates of all 4 atoms:
Au 0.500 0.500 0.500  0.01
Hf 0.000 0.000 0.223  -0.16
Hf 0.000 0.000 0.777  -0.16
Fe 0.500 0.500 0.000  0.95

---

Most stable to least stable, the ends of the list are (iii) and (ii).

---

(i)
Computed, not measured: an optimized crystal structure of Hf3FeAu at the PBE-GGA level of DFT.

Calculated values
N(E_F) ... 8.8 states/eV/cell
SG ... Fmmm

Cell lengths 5.351, 5.351, 8.769 Å; angles 64.21, 64.21, 64.87 degrees
Fractional coordinates of all 10 atoms:
Hf 0.055 0.055 0.739
Hf 0.698 0.698 0.105
Hf 0.706 0.706 0.739
Hf 0.294 0.294 0.261
Hf 0.945 0.945 0.261
Hf 0.302 0.302 0.895
Fe 0.750 0.250 0.000
Fe 0.250 0.750 0.000
Au 0.273 0.727 0.500
Au 0.727 0.273 0.500

---

(ii)
Computed, not measured: an optimized crystal structure of Hf3FeAu at the PBE-GGA level of DFT.

Calculated values
N(E_F) ... 8.3 states/eV/cell
SG ... Pm-3m

Cell lengths 4.732, 4.732, 4.732 Å; angles 90.00, 90.00, 90.00 degrees
Fractional coordinates of all 5 atoms:
Au 0.500 0.500 0.500
Hf 0.500 0.000 0.000
Hf 0.000 0.500 0.000
Hf 0.000 0.000 0.500
Fe 0.000 0.000 0.000

---

Most stable to least stable, the ends of the list are (i) and (ii).

---

(i)
Computed, not measured: an optimized crystal structure of FeHg2Au at the PBE-GGA level of DFT.

Calculated values
N(E_F) ... 2.5 states/eV/cell
SG ... Cm

Cell lengths 4.842, 4.842, 5.664 Å; angles 81.36, 81.36, 35.94 degrees
Each line ends with the local moment (μB).
Fractional coordinates of all 4 atoms:
Fe 0.248 0.248 0.270  2.92
Hg 0.989 0.989 0.025  -0.03
Hg 0.752 0.752 0.735  -0.02
Au 0.511 0.511 0.470  0.00

---

(ii)
Computed, not measured: an optimized crystal structure of FeHg2Au at the PBE-GGA level of DFT.

Calculated values
N(E_F) ... 3.0 states/eV/cell
SG ... C2/m

Cell lengths 4.894, 4.894, 5.510 Å; angles 80.27, 80.27, 35.72 degrees
Each line ends with the local moment (μB).
Fractional coordinates of all 4 atoms:
Au 0.750 0.750 0.750  -0.01
Hg 0.507 0.507 0.487  -0.01
Hg 0.993 0.993 0.013  -0.01
Fe 0.250 0.250 0.250  2.91

---

(iii)
Computed, not measured: an optimized crystal structure of FeHg2Au at the PBE-GGA level of DFT.

Calculated values
N(E_F) ... 3.6 states/eV/cell
SG ... F-43m

Cell lengths 4.749, 4.749, 4.749 Å; angles 60.00, 60.00, 60.00 degrees
Each line ends with the local moment (μB).
Fractional coordinates of all 4 atoms:
Hg 0.250 0.250 0.250  0.01
Hg 0.000 0.000 0.000  -0.01
Fe 0.750 0.750 0.750  3.05
Au 0.500 0.500 0.500  0.03

---

Most stable to least stable, the ends of the list are (i) and (iii).

---

(i)
Computed, not measured: an optimized crystal structure of FeHg2Au at the PBE-GGA level of DFT.

Calculated values
N(E_F) ... 2.6 states/eV/cell
SG ... R3m

Cell lengths 9.816, 9.816, 9.816 Å; angles 17.91, 17.91, 17.91 degrees
Each line ends with the local moment (μB).
Fractional coordinates of all 4 atoms:
Hg 0.011 0.011 0.011  -0.02
Hg 0.244 0.244 0.244  -0.01
Au 0.490 0.490 0.490  0.03
Fe 0.754 0.754 0.754  2.93

---

(ii)
Computed, not measured: an optimized crystal structure of FeHg2Au at the PBE-GGA level of DFT.

Calculated values
N(E_F) ... 2.0 states/eV/cell
SG ... Pm

Cell lengths 4.613, 3.053, 5.498 Å; angles 80.64, 90.00, 90.00 degrees
Each line ends with the local moment (μB).
Fractional coordinates of all 4 atoms:
Au 0.000 0.549 0.520  0.00
Hg 0.000 0.952 0.981  -0.03
Hg 0.500 0.267 0.259  -0.03
Fe 0.500 0.732 0.739  2.92

---

Most stable to least stable, the ends of the list are (i) and (ii).